[1]
# Cs2O3 (PBE, relaxed)
data_Cs2O3
_symmetry_space_group_name_H-M 'P m -3 m'
_symmetry_Int_Tables_number 221
_symmetry_space_group_name_Hall '-P 4 2 3'
_cell_length_a 4.7043
_cell_length_b 4.7043
_cell_length_c 4.7043
_cell_angle_alpha 90.00
_cell_angle_beta 90.00
_cell_angle_gamma 90.00
loop_
_atom_site_label
_atom_site_type_symbol
_atom_site_fract_x
_atom_site_fract_y
_atom_site_fract_z
Cs1 Cs 0.0000 0.0000 0.0000
Cs2 Cs 0.5000 0.5000 0.5000
O1 O 0.0000 0.0000 0.5000
# size of the total moment: 0.207 μB/atom
# uncorrected energy: -3.31 eV/atom
# formation energy without anion corrections: 0.010 eV/atom

=====

[2]
# Co7NiPt2 (PBE, relaxed)
data_Co7NiPt2
_symmetry_space_group_name_H-M 'I m m m'
_symmetry_Int_Tables_number 71
_symmetry_space_group_name_Hall '-I 2 2'
_cell_length_a 4.0020
_cell_length_b 7.6513
_cell_length_c 8.7111
_cell_angle_alpha 90.00
_cell_angle_beta 90.00
_cell_angle_gamma 90.00
loop_
_atom_site_label
_atom_site_type_symbol
_atom_site_fract_x
_atom_site_fract_y
_atom_site_fract_z
Co1 Co 0.0000 0.0000 0.0000
Co2 Co 0.0000 0.2556 0.1631
Co3 Co 0.0000 0.5000 0.3540
Ni1 Ni 0.0000 0.5000 0.0000
Pt1 Pt 0.0000 0.0000 0.3388
# formation energy from the elements: 0.259 eV per atom
# size of the total moment: 1.408 μB/atom
# uncorrected energy: -6.50 eV/atom

=====

[3]
# Cs2SiAs (PBE, relaxed)
data_Cs2SiAs
_symmetry_space_group_name_H-M 'F m -3 m'
_symmetry_Int_Tables_number 225
_symmetry_space_group_name_Hall '-F 4 2 3'
_cell_length_a 8.7037
_cell_length_b 8.7037
_cell_length_c 8.7037
_cell_angle_alpha 90.00
_cell_angle_beta 90.00
_cell_angle_gamma 90.00
loop_
_atom_site_label
_atom_site_type_symbol
_atom_site_fract_x
_atom_site_fract_y
_atom_site_fract_z
Cs1 Cs 0.2500 0.2500 0.2500
Si1 Si 0.0000 0.0000 0.0000
As1 As 0.0000 0.0000 0.5000
# size of the total moment: 0.250 μB/atom
# uncorrected energy: -2.40 eV/atom
# formation energy without anion corrections: 0.549 eV/atom

=====

[4]
# Mn2AlCo (PBE, relaxed)
data_Mn2AlCo
_symmetry_space_group_name_H-M 'R -3 m'
_symmetry_Int_Tables_number 166
_symmetry_space_group_name_Hall '-R 3 2"'
_cell_length_a 2.5691
_cell_length_b 2.5691
_cell_length_c 24.5139
_cell_angle_alpha 90.00
_cell_angle_beta 90.00
_cell_angle_gamma 120.00
loop_
_atom_site_label
_atom_site_type_symbol
_atom_site_fract_x
_atom_site_fract_y
_atom_site_fract_z
Mn1 Mn 0.0000 0.0000 0.2469
Al1 Al 0.0000 0.0000 0.0000
Co1 Co 0.0000 0.0000 0.5000
# formation energy from the elements: 0.084 eV per atom
# size of the total moment: 0.685 μB/atom
# uncorrected energy: -7.21 eV/atom

=====

[5]
# Cr3OsPd (PBE, relaxed)
data_Cr3OsPd
_symmetry_space_group_name_H-M 'P m -3 m'
_symmetry_Int_Tables_number 221
_symmetry_space_group_name_Hall '-P 4 2 3'
_cell_length_a 4.4548
_cell_length_b 4.4548
_cell_length_c 4.4548
_cell_angle_alpha 90.00
_cell_angle_beta 90.00
_cell_angle_gamma 90.00
loop_
_atom_site_label
_atom_site_type_symbol
_atom_site_fract_x
_atom_site_fract_y
_atom_site_fract_z
Cr1 Cr 0.0000 0.0000 0.5000
Os1 Os 0.0000 0.0000 0.0000
Pd1 Pd 0.5000 0.5000 0.5000
# formation energy from the elements: 1.522 eV per atom
# size of the total moment: 0.000 μB/atom
# uncorrected energy: -7.54 eV/atom

=====

[6]
# SbTe2Ru (PBE, relaxed)
data_SbTe2Ru
_symmetry_space_group_name_H-M 'A m m 2'
_symmetry_Int_Tables_number 38
_cell_length_a 4.0289
_cell_length_b 5.2336
_cell_length_c 9.7681
_cell_angle_alpha 90.00
_cell_angle_beta 90.00
_cell_angle_gamma 90.00
loop_
_symmetry_equiv_pos_as_xyz
'x,y,z'
'-x,-y,z'
'-x,y,z'
'x,-y,z'
'x,y+1/2,z+1/2'
'-x,-y+1/2,z+1/2'
'-x,y+1/2,z+1/2'
'x,-y+1/2,z+1/2'
loop_
_atom_site_label
_atom_site_type_symbol
_atom_site_fract_x
_atom_site_fract_y
_atom_site_fract_z
Sb1 Sb 0.0000 0.0000 0.0000
Te1 Te 0.0000 0.0000 0.6404
Te2 Te 0.5000 0.0000 0.3133
Ru1 Ru 0.5000 0.0000 0.8222
# size of the total moment: 0.000 μB/atom
# uncorrected energy: -4.95 eV/atom
# formation energy without anion corrections: -0.032 eV/atom

=====

[7]
# NaZn2Cl2 (PBE, relaxed)
data_NaZn2Cl2
_symmetry_space_group_name_H-M 'P 4/m b m'
_symmetry_Int_Tables_number 127
_symmetry_space_group_name_Hall '-P 4 2ab'
_cell_length_a 7.6942
_cell_length_b 7.6942
_cell_length_c 4.8097
_cell_angle_alpha 90.00
_cell_angle_beta 90.00
_cell_angle_gamma 90.00
loop_
_atom_site_label
_atom_site_type_symbol
_atom_site_fract_x
_atom_site_fract_y
_atom_site_fract_z
Na1 Na 0.0000 0.0000 0.0000
Zn1 Zn 0.1129 0.3871 0.5000
Cl1 Cl 0.2112 0.2888 0.0000
# size of the total moment: 0.000 μB/atom
# uncorrected energy: -2.13 eV/atom
# formation energy without anion corrections: -0.615 eV/atom

=====

[8]
# MgSb2Pb (PBE, relaxed)
data_MgSb2Pb
_symmetry_space_group_name_H-M 'C 1 m 1'
_symmetry_Int_Tables_number 8
_cell_length_a 14.1230
_cell_length_b 3.5645
_cell_length_c 4.6888
_cell_angle_alpha 90.00
_cell_angle_beta 99.08
_cell_angle_gamma 90.00
loop_
_symmetry_equiv_pos_as_xyz
'x,y,z'
'x,-y,z'
'x+1/2,y+1/2,z'
'x+1/2,-y+1/2,z'
loop_
_atom_site_label
_atom_site_type_symbol
_atom_site_fract_x
_atom_site_fract_y
_atom_site_fract_z
Mg1 Mg 0.0000 0.0000 0.0000
Sb1 Sb 0.1451 0.5000 0.3474
Sb2 Sb 0.4413 0.0000 0.4950
Pb1 Pb 0.2679 0.0000 0.9049
# size of the total moment: 0.000 μB/atom
# uncorrected energy: -3.40 eV/atom
# formation energy without anion corrections: -0.016 eV/atom

=====

Please write out number 5 again, unchanged.
# Cr3OsPd (PBE, relaxed)
data_Cr3OsPd
_symmetry_space_group_name_H-M 'P m -3 m'
_symmetry_Int_Tables_number 221
_symmetry_space_group_name_Hall '-P 4 2 3'
_cell_length_a 4.4548
_cell_length_b 4.4548
_cell_length_c 4.4548
_cell_angle_alpha 90.00
_cell_angle_beta 90.00
_cell_angle_gamma 90.00
loop_
_atom_site_label
_atom_site_type_symbol
_atom_site_fract_x
_atom_site_fract_y
_atom_site_fract_z
Cr1 Cr 0.0000 0.0000 0.5000
Os1 Os 0.0000 0.0000 0.0000
Pd1 Pd 0.5000 0.5000 0.5000
# formation energy from the elements: 1.522 eV per atom
# size of the total moment: 0.000 μB/atom
# uncorrected energy: -7.54 eV/atom

=====

- The lowest uncorrected energy belongs to which entry?
  Cr3OsPd